# 1
MnFeCo5: optimized geometry, PBE.

Geometry as CIF:
```
data_MnFeCo5
_chemical_formula_sum 'Mn4 Fe4 Co20'
_cell_length_a 4.5057
_cell_length_b 7.5158
_cell_length_c 9.9950
_cell_angle_alpha 90.00
_cell_angle_beta 90.00
_cell_angle_gamma 90.00
_symmetry_space_group_name_H-M 'P 1'
_symmetry_Int_Tables_number 1
loop_
_symmetry_equiv_pos_as_xyz
'x,y,z'
loop_
_atom_site_label
_atom_site_type_symbol
_atom_site_fract_x
_atom_site_fract_y
_atom_site_fract_z
Mn1 Mn 0.2500 0.8638 0.8580
Mn2 Mn 0.7500 0.6362 0.3580
Mn3 Mn 0.2500 0.3638 0.6420
Mn4 Mn 0.7500 0.1362 0.1420
Fe1 Fe 0.2500 0.2341 0.9334
Fe2 Fe 0.7500 0.2659 0.4334
Fe3 Fe 0.2500 0.7341 0.5666
Fe4 Fe 0.7500 0.7659 0.0666
Co1 Co 0.2500 0.5975 0.0197
Co2 Co 0.7500 0.9025 0.5197
Co3 Co 0.2500 0.0975 0.4803
Co4 Co 0.7500 0.4025 0.9803
Co5 Co 0.7500 0.3037 0.7588
Co6 Co 0.2500 0.1963 0.2588
Co7 Co 0.7500 0.8037 0.7412
Co8 Co 0.2500 0.6963 0.2412
Co9 Co 0.2500 0.9556 0.0846
Co10 Co 0.7500 0.5444 0.5846
Co11 Co 0.2500 0.4556 0.4154
Co12 Co 0.7500 0.0444 0.9154
Co13 Co 0.9909 0.4358 0.1890
Co14 Co 0.0091 0.0642 0.6890
Co15 Co 0.5091 0.9358 0.3110
Co16 Co 0.4909 0.5642 0.8110
Co17 Co 0.0091 0.5642 0.8110
Co18 Co 0.9909 0.9358 0.3110
Co19 Co 0.4909 0.0642 0.6890
Co20 Co 0.5091 0.4358 0.1890
```

- DOS(E_F): 0.924 states/eV/atom
- Formation energy from the elements: 206 meV/atom
- SG: Pnma
- Final energy: -7.388 eV/atom

=====

# 2
Mn6FeCo2: optimized geometry, PBE.

Geometry as CIF:
```
data_Mn6FeCo2
_chemical_formula_sum 'Mn12 Fe2 Co4'
_cell_length_a 4.5751
_cell_length_b 6.7291
_cell_length_c 6.7291
_cell_angle_alpha 94.80
_cell_angle_beta 95.16
_cell_angle_gamma 95.16
_symmetry_space_group_name_H-M 'P 1'
_symmetry_Int_Tables_number 1
loop_
_symmetry_equiv_pos_as_xyz
'x,y,z'
loop_
_atom_site_label
_atom_site_type_symbol
_atom_site_fract_x
_atom_site_fract_y
_atom_site_fract_z
Mn1 Mn 0.4889 0.3104 0.7296
Mn2 Mn 0.0111 0.2704 0.6896
Mn3 Mn 0.5111 0.6896 0.2704
Mn4 Mn 0.9889 0.7296 0.3104
Mn5 Mn 0.7341 0.9294 0.5751
Mn6 Mn 0.7659 0.4249 0.0706
Mn7 Mn 0.2659 0.0706 0.4249
Mn8 Mn 0.2341 0.5751 0.9294
Mn9 Mn 0.2717 0.2522 0.0703
Mn10 Mn 0.2283 0.9297 0.7478
Mn11 Mn 0.7283 0.7478 0.9297
Mn12 Mn 0.7717 0.0703 0.2522
Fe1 Fe 0.2500 0.9109 0.0891
Fe2 Fe 0.7500 0.0891 0.9109
Co1 Co 0.1020 0.4039 0.3618
Co2 Co 0.3980 0.6382 0.5961
Co3 Co 0.8980 0.5961 0.6382
Co4 Co 0.6020 0.3618 0.4039
```

- DOS(E_F): 1.174 states/eV/atom
- Formation energy from the elements: 154 meV/atom
- SG: C2/c
- Final energy: -8.479 eV/atom

=====

# 3
Mn3FeCo3: optimized geometry, PBE.

Geometry as CIF:
```
data_Mn3FeCo3
_chemical_formula_sum 'Mn6 Fe2 Co6'
_cell_length_a 5.4877
_cell_length_b 8.1162
_cell_length_c 5.6941
_cell_angle_alpha 135.45
_cell_angle_beta 90.00
_cell_angle_gamma 90.00
_symmetry_space_group_name_H-M 'P 1'
_symmetry_Int_Tables_number 1
loop_
_symmetry_equiv_pos_as_xyz
'x,y,z'
loop_
_atom_site_label
_atom_site_type_symbol
_atom_site_fract_x
_atom_site_fract_y
_atom_site_fract_z
Mn1 Mn 0.5000 0.2618 0.0000
Mn2 Mn 0.5000 0.7452 0.4903
Mn3 Mn 0.5000 0.2548 0.5097
Mn4 Mn 0.0000 0.7243 0.4487
Mn5 Mn 0.0000 0.2757 0.5513
Mn6 Mn 0.5000 0.7382 0.0000
Fe1 Fe 0.0000 0.2467 0.0000
Fe2 Fe 0.0000 0.7533 0.0000
Co1 Co 0.7532 0.0000 0.0000
Co2 Co 0.2479 0.0000 0.5000
Co3 Co 0.2479 0.5000 0.5000
Co4 Co 0.7521 0.0000 0.5000
Co5 Co 0.7521 0.5000 0.5000
Co6 Co 0.2468 0.0000 0.0000
```

- DOS(E_F): 1.181 states/eV/atom
- Formation energy from the elements: 227 meV/atom
- SG: Cmmm
- Final energy: -7.957 eV/atom

=====

Question: Among the records above, which one has the lowest final energy?
Answer: Mn6FeCo2

=====

Question: What is the formula in the first record?
Answer: MnFeCo5